Entry 1:
Here is Rb2TlHg after structural relaxation from Alexandria. Energies are from PBE.

Lattice parameters (Å, degrees): 13.0853 13.0853 13.0853 18.35 18.35 18.35
Atoms (fractional coordinates):
Rb1 0.0947 0.0947 0.0947
Rb2 0.9053 0.9053 0.9053
Tl1 0.0000 0.0000 0.0000
Hg1 0.5000 0.5000 0.5000

## Properties
Space group: R-3m, No. 166
Excess energy over the best structure of this formula in the dataset, meV per atom: 225

=====

Entry 2:
Here is RbTl8Hg4 after structural relaxation from Alexandria. Energies are from PBE.

Lattice parameters (Å, degrees): 8.6786 8.6786 8.6786 97.38 97.38 137.98
Atoms (fractional coordinates):
Rb1 0.0000 0.0000 0.0000
Tl1 0.0000 0.3580 0.3580
Tl2 0.0000 0.6420 0.6420
Tl3 0.2868 0.5000 0.7868
Tl4 0.3580 0.0000 0.3580
Tl5 0.5000 0.2868 0.7868
Tl6 0.5000 0.7132 0.2132
Tl7 0.6420 0.0000 0.6420
Tl8 0.7132 0.5000 0.2132
Hg1 0.0000 0.0000 0.5000
Hg2 0.0000 0.5000 0.0000
Hg3 0.5000 0.0000 0.0000
Hg4 0.5000 0.5000 0.5000

## Properties
Space group: I4/mmm, No. 139

=====

Entry 3:
Here is Rb2TlHg2 after structural relaxation from Alexandria. Energies are from PBE.

Lattice parameters (Å, degrees): 6.7818 6.7818 6.7818 116.18 116.18 96.75
Atoms (fractional coordinates):
Rb1 0.2500 0.7500 0.5000
Rb2 0.7500 0.2500 0.5000
Tl1 0.0000 0.0000 0.0000
Hg1 0.3380 0.3380 0.0000
Hg2 0.6620 0.6620 0.0000

## Properties
Space group: I4/mmm, No. 139
Excess energy over the best structure of this formula in the dataset, meV per atom: 108

=====

Entry 4:
Here is Rb2TlHg12 after structural relaxation from Alexandria. Energies are from PBE.

Lattice parameters (Å, degrees): 7.2278 7.2278 19.2270 90.00 90.00 90.00
Atoms (fractional coordinates):
Rb1 0.2500 0.7500 0.2439
Rb2 0.2500 0.7500 0.7561
Rb3 0.7500 0.2500 0.2439
Rb4 0.7500 0.2500 0.7561
Tl1 0.2500 0.7500 0.5000
Tl2 0.7500 0.2500 0.5000
Hg1 0.0004 0.9996 0.4017
Hg2 0.9996 0.0004 0.5983
Hg3 0.9996 0.4996 0.4017
Hg4 0.0004 0.5004 0.5983
Hg5 0.0929 0.5929 0.0640
Hg6 0.0929 0.9071 0.9360
Hg7 0.2500 0.2500 0.1453
Hg8 0.2500 0.2500 0.3087
Hg9 0.2500 0.2500 0.6913
Hg10 0.2500 0.2500 0.8547
Hg11 0.4071 0.5929 0.9360
Hg12 0.4071 0.9071 0.0640
Hg13 0.5004 0.0004 0.4017
Hg14 0.4996 0.9996 0.5983
Hg15 0.4996 0.5004 0.4017
Hg16 0.5004 0.4996 0.5983
Hg17 0.5929 0.0929 0.9360
Hg18 0.5929 0.4071 0.0640
Hg19 0.7500 0.7500 0.1453
Hg20 0.7500 0.7500 0.3087
Hg21 0.7500 0.7500 0.6913
Hg22 0.7500 0.7500 0.8547
Hg23 0.9071 0.0929 0.0640
Hg24 0.9071 0.4071 0.9360

## Properties
Space group: P4/nbm, No. 125

=====

Entry 5:
Here is RbTl12Hg7 after structural relaxation from Alexandria. Energies are from PBE.

Lattice parameters (Å, degrees): 9.6146 9.6146 9.6146 111.05 111.05 111.05
Atoms (fractional coordinates):
Rb1 0.0000 0.0000 0.0000
Tl1 0.0555 0.5903 0.8434
Tl2 0.1566 0.9445 0.4097
Tl3 0.2538 0.6381 0.6135
Tl4 0.3619 0.3865 0.7462
Tl5 0.3865 0.7462 0.3619
Tl6 0.4097 0.1566 0.9445
Tl7 0.5903 0.8434 0.0555
Tl8 0.6135 0.2538 0.6381
Tl9 0.6381 0.6135 0.2538
Tl10 0.7462 0.3619 0.3865
Tl11 0.8434 0.0555 0.5903
Tl12 0.9445 0.4097 0.1566
Hg1 0.0203 0.8071 0.6142
Hg2 0.1929 0.3858 0.9797
Hg3 0.3858 0.9797 0.1929
Hg4 0.5000 0.5000 0.5000
Hg5 0.6142 0.0203 0.8071
Hg6 0.8071 0.6142 0.0203
Hg7 0.9797 0.1929 0.3858

## Properties
Space group: R-3, No. 148

=====

Entry 6:
Here is Rb3TlHg3 after structural relaxation from Alexandria. Energies are from PBE.

Lattice parameters (Å, degrees): 7.2562 7.2562 17.5091 108.91 108.91 43.70
Atoms (fractional coordinates):
Rb1 0.0185 0.0185 0.3808
Rb2 0.1122 0.1122 0.9251
Rb3 0.2460 0.2460 0.2365
Rb4 0.7540 0.7540 0.7635
Rb5 0.8878 0.8878 0.0749
Rb6 0.9815 0.9815 0.6192
Tl1 0.2564 0.2564 0.5872
Tl2 0.7436 0.7436 0.4128
Hg1 0.3738 0.3738 0.4637
Hg2 0.4040 0.4040 0.9195
Hg3 0.4624 0.4624 0.7646
Hg4 0.5376 0.5376 0.2354
Hg5 0.5960 0.5960 0.0805
Hg6 0.6262 0.6262 0.5363

## Properties
Space group: C2/m, No. 12

=====

D(E_F): 3.9; 5.9; 4.2; 6.3; 7.6; 4.3 (states/eV/f.u.)
Energy of formation from the pure elements: 0.39; -0.49; -0.45; -1.77; -0.27; -1.43 (eV/f.u.)